No. 1
# LiNbSe2Br

LiNbSe2Br after structural relaxation (PBE-GGA, Alexandria via LeMat-Bulk). Values from VASP.

* energy relative to the lowest polymorph listed for this composition: 801 meV/atom
* symmetry: P4/mmm
* volume: 103.8 Å³/cell
* formation energy (no corrections): 0.26 eV/atom
* E_tot: -19.34 eV per cell

Cell and atoms, written as Quantum ESPRESSO input:
```
&SYSTEM
  ibrav = 0, nat = 5, ntyp = 4
/
ATOMIC_SPECIES
Se 78.96 Se.upf
Br 79.90 Br.upf
Li 6.94 Li.upf
Nb 92.91 Nb.upf
CELL_PARAMETERS angstrom
4.648 0.000 0.000
0.000 4.648 0.000
0.000 0.000 4.805
ATOMIC_POSITIONS crystal
Se 0.000 0.500 0.000
Br 0.000 0.000 0.500
Li 0.000 0.000 0.000
Nb 0.500 0.500 0.500
Se 0.500 0.000 0.000
```

No. 2
# LiNbSe2Br

LiNbSe2Br after structural relaxation (PBE-GGA, Alexandria via LeMat-Bulk). Values from VASP.

* energy relative to the lowest polymorph listed for this composition: 0 meV/atom
* symmetry: P4/mmm
* volume: 138.0 Å³/cell
* formation energy (no corrections): -0.54 eV/atom
* E_tot: -23.34 eV per cell

Cell and atoms, written as Quantum ESPRESSO input:
```
&SYSTEM
  ibrav = 0, nat = 5, ntyp = 4
/
ATOMIC_SPECIES
Se 78.96 Se.upf
Nb 92.91 Nb.upf
Br 79.90 Br.upf
Li 6.94 Li.upf
CELL_PARAMETERS angstrom
5.051 0.000 0.000
0.000 5.051 0.000
0.000 0.000 5.410
ATOMIC_POSITIONS crystal
Se 0.500 0.000 0.000
Nb 0.000 0.000 0.000
Se 0.000 0.500 0.000
Br 0.000 0.000 0.500
Li 0.500 0.500 0.500
```

No. 3
# LiNbSiBr2

LiNbSiBr2 after structural relaxation (PBE-GGA, Alexandria via LeMat-Bulk). Values from VASP.

* symmetry: P4/mmm
* volume: 115.9 Å³/cell
* formation energy (no corrections): 0.68 eV/atom
* E_tot: -17.35 eV per cell

Cell and atoms, written as Quantum ESPRESSO input:
```
&SYSTEM
  ibrav = 0, nat = 5, ntyp = 4
/
ATOMIC_SPECIES
Si 28.09 Si.upf
Br 79.90 Br.upf
Nb 92.91 Nb.upf
Li 6.94 Li.upf
CELL_PARAMETERS angstrom
4.540 0.000 0.000
0.000 4.540 0.000
0.000 0.000 5.621
ATOMIC_POSITIONS crystal
Si 0.500 0.500 0.500
Br 0.500 0.000 0.000
Nb 0.000 0.000 0.500
Br 0.000 0.500 0.000
Li 0.000 0.000 0.000
```

No. 4
# LiNbTcBr2

LiNbTcBr2 after structural relaxation (PBE-GGA, Alexandria via LeMat-Bulk). Values from VASP.

* symmetry: P4/mmm
* volume: 144.7 Å³/cell
* formation energy (no corrections): 1.11 eV/atom
* E_tot: -20.17 eV per cell

Cell and atoms, written as Quantum ESPRESSO input:
```
&SYSTEM
  ibrav = 0, nat = 5, ntyp = 4
/
ATOMIC_SPECIES
Br 79.90 Br.upf
Li 6.94 Li.upf
Nb 92.91 Nb.upf
Tc 98.00 Tc.upf
CELL_PARAMETERS angstrom
5.027 0.000 0.000
0.000 5.727 0.000
0.000 0.000 5.027
ATOMIC_POSITIONS crystal
Br 0.000 0.000 0.500
Li 0.000 0.500 0.000
Nb 0.000 0.000 0.000
Tc 0.500 0.500 0.500
Br 0.500 0.000 0.000
```

No. 5
# LiTi2NbBr

LiTi2NbBr after structural relaxation (PBE-GGA, Alexandria via LeMat-Bulk). Values from VASP.

* symmetry: P4/mmm
* volume: 106.9 Å³/cell
* formation energy (no corrections): 0.80 eV/atom
* E_tot: -25.46 eV per cell

Cell and atoms, written as Quantum ESPRESSO input:
```
&SYSTEM
  ibrav = 0, nat = 5, ntyp = 4
/
ATOMIC_SPECIES
Li 6.94 Li.upf
Br 79.90 Br.upf
Ti 47.87 Ti.upf
Nb 92.91 Nb.upf
CELL_PARAMETERS angstrom
-4.526 -1.185 -0.459
1.175 -3.135 -3.489
0.558 -3.377 3.222
ATOMIC_POSITIONS crystal
Li 0.500 0.500 0.500
Br 0.000 0.000 0.000
Ti 0.000 0.000 0.500
Ti 0.500 0.000 0.000
Nb 0.000 0.500 0.000
```

No. 6
# LiNbTlBr6

LiNbTlBr6 after structural relaxation (PBE-GGA, Alexandria via LeMat-Bulk). Values from VASP.

* symmetry: P-31c
* volume: 608.3 Å³/cell
* formation energy (no corrections): -0.99 eV/atom
* E_tot: -66.58 eV per cell

Cell and atoms, written as Quantum ESPRESSO input:
```
&SYSTEM
  ibrav = 0, nat = 18, ntyp = 4
/
ATOMIC_SPECIES
Br 79.90 Br.upf
Li 6.94 Li.upf
Nb 92.91 Nb.upf
Tl 204.38 Tl.upf
CELL_PARAMETERS angstrom
-0.464 -6.572 2.382
1.893 1.195 -6.639
13.732 0.481 4.001
ATOMIC_POSITIONS crystal
Br 0.635 0.016 0.355
Br 0.984 0.365 0.145
Br 0.984 0.619 0.355
Br 0.365 0.381 0.855
Br 0.016 0.635 0.855
Li 0.333 0.667 0.250
Nb 0.333 0.667 0.750
Tl 0.000 0.000 0.000
Tl 0.000 0.000 0.500
Br 0.619 0.635 0.645
Br 0.381 0.016 0.145
Br 0.619 0.984 0.855
Nb 0.667 0.333 0.250
Br 0.381 0.365 0.355
Li 0.667 0.333 0.750
Br 0.016 0.381 0.645
Br 0.635 0.619 0.145
Br 0.365 0.984 0.645
```

Please write out number 1 again, unchanged.
# LiNbSe2Br

LiNbSe2Br after structural relaxation (PBE-GGA, Alexandria via LeMat-Bulk). Values from VASP.

* energy relative to the lowest polymorph listed for this composition: 801 meV/atom
* symmetry: P4/mmm
* volume: 103.8 Å³/cell
* formation energy (no corrections): 0.26 eV/atom
* E_tot: -19.34 eV per cell

Cell and atoms, written as Quantum ESPRESSO input:
```
&SYSTEM
  ibrav = 0, nat = 5, ntyp = 4
/
ATOMIC_SPECIES
Se 78.96 Se.upf
Br 79.90 Br.upf
Li 6.94 Li.upf
Nb 92.91 Nb.upf
CELL_PARAMETERS angstrom
4.648 0.000 0.000
0.000 4.648 0.000
0.000 0.000 4.805
ATOMIC_POSITIONS crystal
Se 0.000 0.500 0.000
Br 0.000 0.000 0.500
Li 0.000 0.000 0.000
Nb 0.500 0.500 0.500
Se 0.500 0.000 0.000
```